[1]
Below is an optimized crystal structure of TbLuGaOs, with properties calculated at the PBE level. Values from VASP.

The structure in Quantum ESPRESSO input format:
```
&SYSTEM
  ibrav = 0, nat = 4, ntyp = 4
/
ATOMIC_SPECIES
Tb 158.93 Tb.upf
Lu 174.97 Lu.upf
Ga 69.72 Ga.upf
Os 190.23 Os.upf
ATOMIC_POSITIONS angstrom
Tb 0.000 0.000 0.000
Lu 3.454 3.454 3.454
Ga 1.727 1.727 1.727
Os 5.181 5.181 5.181
CELL_PARAMETERS angstrom
0.000 3.454 3.454
3.454 0.000 3.454
3.454 3.454 0.000
```

Calculated values
- crystal system = cubic
- formation energy from the elements (eV per atom) = -0.381
- symmetry = F-43m
- magnetic moment (μB/f.u.) = 0.00
- N(E_F) (states/eV per atom) = 0.68


[2]
Below is an optimized crystal structure of SrMg6CdO8, with properties calculated at the PBE level. Values from VASP.

The structure in Quantum ESPRESSO input format:
```
&SYSTEM
  ibrav = 0, nat = 16, ntyp = 4
/
ATOMIC_SPECIES
Sr 87.62 Sr.upf
Mg 24.30 Mg.upf
Cd 112.41 Cd.upf
O 16.00 O.upf
ATOMIC_POSITIONS angstrom
Sr 0.000 0.000 0.000
Mg 0.000 0.000 4.456
Mg 0.000 2.276 2.388
Mg 0.000 2.276 6.524
Mg 2.276 0.000 2.388
Mg 2.276 0.000 6.524
Mg 2.276 2.276 4.456
Cd 2.276 2.276 0.000
O 0.000 0.000 2.443
O 0.000 0.000 6.469
O 0.000 2.276 0.000
O 0.000 2.276 4.456
O 2.276 0.000 0.000
O 2.276 0.000 4.456
O 2.276 2.276 2.395
O 2.276 2.276 6.516
CELL_PARAMETERS angstrom
4.552 0.000 0.000
0.000 4.552 0.000
0.000 0.000 8.911
```

Calculated values
- crystal system = tetragonal
- symmetry = P4/mmm
- excess energy over the best structure of this formula in the dataset (eV/f.u.) = 0.00
- magnetic moment (μB/f.u.) = 0.00
- N(E_F) (states/eV per atom) = 0.00


[3]
Below is an optimized crystal structure of Ac3Be2Ge4, with properties calculated at the PBE level. Values from VASP.

The structure in Quantum ESPRESSO input format:
```
&SYSTEM
  ibrav = 0, nat = 9, ntyp = 3
/
ATOMIC_SPECIES
Ac 227.00 Ac.upf
Be 9.01 Be.upf
Ge 72.64 Ge.upf
ATOMIC_POSITIONS angstrom
Ac 0.000 0.000 0.000
Ac 3.796 0.000 2.858
Ac 7.466 0.000 5.709
Be 4.206 0.000 6.156
Be 7.055 0.000 2.410
Ge 0.523 0.000 3.255
Ge 2.820 0.000 7.978
Ge 8.442 0.000 0.588
Ge 10.739 0.000 5.311
CELL_PARAMETERS angstrom
5.939 -2.072 0.000
5.939 2.072 0.000
-0.616 0.000 8.566
```

Calculated values
- crystal system = monoclinic
- formation energy from the elements (eV per atom) = -0.594
- symmetry = C2/m
- excess energy over the best structure of this formula in the dataset (eV/f.u.) = 0.00
- magnetic moment (μB/f.u.) = 0.00
- N(E_F) (states/eV per atom) = 0.40


[4]
Below is an optimized crystal structure of ScFeTe2, with properties calculated at the PBE level. Values from VASP.

The structure in Quantum ESPRESSO input format:
```
&SYSTEM
  ibrav = 0, nat = 4, ntyp = 3
/
ATOMIC_SPECIES
Sc 44.96 Sc.upf
Fe 55.84 Fe.upf
Te 127.60 Te.upf
ATOMIC_POSITIONS angstrom
Sc 0.000 0.000 0.000
Fe 3.517 3.517 3.517
Te 1.759 1.759 1.759
Te 5.276 5.276 5.276
CELL_PARAMETERS angstrom
0.000 3.517 3.517
3.517 0.000 3.517
3.517 3.517 0.000
```

Calculated values
- crystal system = cubic
- symmetry = Fm-3m
- total DFT energy (no corrections) (eV per atom) = -5.52
- magnetic moment (μB/f.u.) = 2.93
- N(E_F) (states/eV per atom) = 0.46


[5]
Below is an optimized crystal structure of Nd3Dy6Er2Tm, with properties calculated at the PBE level. Values from VASP.

The structure in Quantum ESPRESSO input format:
```
&SYSTEM
  ibrav = 0, nat = 12, ntyp = 4
/
ATOMIC_SPECIES
Nd 144.24 Nd.upf
Dy 162.50 Dy.upf
Er 167.26 Er.upf
Tm 168.93 Tm.upf
ATOMIC_POSITIONS angstrom
Nd 0.000 0.000 0.000
Nd 3.091 1.783 0.000
Nd 3.091 -1.783 0.000
Dy 1.032 1.783 2.963
Dy 0.006 0.000 8.661
Dy 1.032 -1.783 2.963
Dy 3.095 1.783 8.661
Dy 4.121 0.000 2.964
Dy 3.095 -1.783 8.661
Er 2.064 3.567 5.812
Er 2.064 -3.567 5.812
Tm 2.064 0.000 5.812
CELL_PARAMETERS angstrom
3.091 -5.350 0.000
3.091 5.350 0.000
-2.054 0.000 11.625
```

Calculated values
- crystal system = monoclinic
- formation energy from the elements (eV per atom) = 0.020
- symmetry = C2/m
- magnetic moment (μB/f.u.) = 0.00
- N(E_F) (states/eV per atom) = 1.34


[6]
Below is an optimized crystal structure of Ca6Cd23Rh, with properties calculated at the PBE level. Values from VASP.

The structure in Quantum ESPRESSO input format:
```
&SYSTEM
  ibrav = 0, nat = 30, ntyp = 3
/
ATOMIC_SPECIES
Ca 40.08 Ca.upf
Cd 112.41 Cd.upf
Rh 102.91 Rh.upf
ATOMIC_POSITIONS angstrom
Ca 7.116 7.116 2.846
Ca 7.116 2.846 7.116
Ca 11.386 7.116 7.116
Ca 2.846 7.116 7.116
Ca 7.116 11.386 7.116
Ca 7.116 7.116 11.386
Cd 3.558 3.558 0.000
Cd 3.558 0.000 3.558
Cd 7.116 3.558 3.558
Cd 8.843 5.389 5.389
Cd 2.344 2.344 2.344
Cd 4.772 4.772 2.344
Cd 4.772 2.344 4.772
Cd 5.389 5.389 5.389
Cd 8.843 8.843 5.389
Cd 8.843 5.389 8.843
Cd 11.888 9.460 9.460
Cd 0.000 3.558 3.558
Cd 3.558 7.116 3.558
Cd 3.558 3.558 7.116
Cd 7.116 7.116 7.116
Cd 2.344 4.772 4.772
Cd 5.389 8.843 5.389
Cd 5.389 5.389 8.843
Cd 8.843 8.843 8.843
Cd 9.460 11.888 9.460
Cd 9.460 9.460 11.888
Cd 11.888 11.888 11.888
Cd 5.389 8.843 8.843
Rh 0.000 0.000 0.000
CELL_PARAMETERS angstrom
0.000 7.116 7.116
7.116 0.000 7.116
7.116 7.116 0.000
```

Calculated values
- crystal system = cubic
- formation energy from the elements (eV per atom) = -0.219
- symmetry = Fm-3m
- magnetic moment (μB/f.u.) = 0.00
- N(E_F) (states/eV per atom) = 0.63